1.
A plane-wave DFT calculation with PBE was carried out for a relaxed PmPuF6 crystal.

Structure (POSCAR):
```
PmPuF6
1.0
-0.7103 3.5648 -1.3759
-4.6307 -1.8531 -2.4107
-2.0267 1.5000 4.9327
F Pu Pm
6 1 1
direct
0.5000 0.9174 0.7259
0.0000 0.6738 0.3262
0.0000 0.5852 0.7818
0.5000 0.8284 0.1716
0.5000 0.2741 0.0826
0.0000 0.2182 0.4148
0.5000 0.5277 0.4723
0.0000 0.9753 0.0247
```

Calculated values
Crystal system = orthorhombic
E_form (uncorrected) = -3761.2 meV/atom

***

2.
A plane-wave DFT calculation with PBE was carried out for a relaxed Li2TcAg crystal.

Structure (POSCAR):
```
Li2TcAg
1.0
4.5439 0.0000 0.0000
0.0000 2.5709 -0.0059
0.0000 0.2783 5.2088
Ag Li Tc
1 2 1
direct
0.5000 0.7500 0.7500
0.0000 0.5957 0.4822
0.0000 0.9043 0.0178
0.5000 0.2500 0.2500
```

Calculated values
Crystal system = monoclinic
E_form = 0.25 eV/atom

***

3.
A plane-wave DFT calculation with PBE was carried out for a relaxed LaYCr3 crystal.

Structure (POSCAR):
```
LaYCr3
1.0
4.8431 0.0000 0.0000
0.0000 4.8431 0.0000
0.0000 0.0000 4.8431
Cr La Y
3 1 1
direct
0.0000 0.0000 0.5000
0.0000 0.5000 0.0000
0.5000 0.0000 0.0000
0.0000 0.0000 0.0000
0.5000 0.5000 0.5000
```

Calculated values
Crystal system = cubic
E_form = 1.40 eV/atom

***

4.
A plane-wave DFT calculation with PBE was carried out for a relaxed PuGaNi4 crystal.

Structure (POSCAR):
```
PuGaNi4
1.0
-1.4683 -3.4464 -0.9774
4.3131 -0.7892 -3.6966
4.8905 -1.6256 6.0532
Pu Ni Ga
2 8 2
direct
0.1066 0.2500 0.2133
0.8934 0.7500 0.7867
0.6585 0.5479 0.3169
0.3415 0.4521 0.6831
0.5000 0.5000 0.0000
0.0719 0.7500 0.1439
0.6585 0.9521 0.3169
0.3415 0.0479 0.6831
0.9281 0.2500 0.8561
0.5000 0.0000 0.0000
0.7698 0.2500 0.5397
0.2302 0.7500 0.4603
```

Calculated values
Crystal system = orthorhombic
E_form = -0.17 eV/atom

***

5.
A plane-wave DFT calculation with PBE was carried out for a relaxed Sm2YN3 crystal.

Structure (POSCAR):
```
Sm2YN3
1.0
-4.3955 -1.8088 1.6287
3.1327 -6.1789 1.5924
2.1441 3.6124 9.7985
N Sm Y
12 8 4
direct
0.2500 0.1330 0.5807
0.7500 0.8775 0.0820
0.7500 0.3775 0.4180
0.2500 0.6225 0.5820
0.7500 0.8715 0.7486
0.2500 0.1225 0.9180
0.2500 0.6285 0.2486
0.7500 0.3715 0.7514
0.2500 0.6330 0.9193
0.2500 0.1285 0.2514
0.7500 0.3670 0.0807
0.7500 0.8670 0.4193
0.7500 0.6269 0.9165
0.2500 0.8740 0.7506
0.7500 0.1269 0.5835
0.2500 0.8731 0.4165
0.2500 0.3740 0.7494
0.2500 0.3731 0.0835
0.7500 0.1260 0.2494
0.7500 0.6260 0.2506
0.2500 0.3749 0.4176
0.7500 0.1251 0.9176
0.7500 0.6251 0.5824
0.2500 0.8749 0.0824
```

Calculated values
Crystal system = orthorhombic
E_form (uncorrected) = -1542.0 meV/atom

***

6.
A plane-wave DFT calculation with PBE was carried out for a relaxed PrNd2Sm3Dy6 crystal.

Structure (POSCAR):
```
PrNd2Sm3Dy6
1.0
6.2493 -0.0005 0.0088
-3.1236 5.4127 0.0088
-1.0549 -1.8265 11.6691
Nd Sm Dy Pr
2 3 6 1
direct
0.3334 0.6666 0.0000
0.6666 0.3334 0.0000
0.1667 0.8333 0.5000
0.5000 0.5000 0.5000
0.8333 0.1667 0.5000
0.4175 0.0840 0.2516
0.0840 0.4175 0.2516
0.2495 0.2495 0.7484
0.9160 0.5825 0.7484
0.7505 0.7505 0.2516
0.5825 0.9160 0.7484
0.0000 0.0000 0.0000
```

Calculated values
Crystal system = monoclinic
E_form = 0.01 eV/atom

***

7.
A plane-wave DFT calculation with PBE was carried out for a relaxed Tc5Ge crystal.

Structure (POSCAR):
```
Tc5Ge
1.0
-1.1060 1.1910 3.5911
0.8548 -3.5470 1.4396
4.8884 3.4882 0.3487
Tc Ge
5 1
direct
0.5000 0.1690 0.3380
0.5000 0.8310 0.6620
0.0000 0.6727 0.3455
0.5000 0.5000 0.0000
0.0000 0.3273 0.6545
0.0000 0.0000 0.0000
```

Calculated values
Crystal system = orthorhombic
E_form = 0.06 eV/atom

***

8.
A plane-wave DFT calculation with PBE was carried out for a relaxed YAgPb3 crystal.

Structure (POSCAR):
```
YAgPb3
1.0
5.9000 0.0000 0.0000
0.0000 5.9000 0.0000
0.0000 0.0000 5.9000
Pb Y Ag
3 1 1
direct
0.5000 0.0000 0.0000
0.0000 0.5000 0.0000
0.0000 0.0000 0.5000
0.0000 0.0000 0.0000
0.5000 0.5000 0.5000
```

Calculated values
Crystal system = cubic
E_form = 0.63 eV/atom

***

no.,VASP energy (eV per atom),total magnetic moment (μB/f.u.)
1,-7.5500,5.00
2,-4.0064,0.58
3,-6.6551,8.28
4,-6.9214,4.46
5,-8.3551,0.00
6,-4.6607,0.00
7,-9.3457,0.36
8,-3.4598,0.00